Sr2GaSn6 | Alexandria | GGA-PBE | optimized geometry; magnetic moment = 0.000 μB per cell; DFT formation energy = -0.301 eV/atom; Fermi-level density of states = 3.48 states/eV/f.u.
1.0
4.490 0.000 -0.855
0.000 4.840 0.000
0.042 0.000 12.433
Sr Ga Sn
2 1 6
Cartesian
1.525 0.000 8.005
4.492 0.000 11.365
3.518 2.420 6.252
3.232 0.000 4.751
0.971 2.420 5.095
0.423 2.420 2.219
2.684 0.000 1.878
2.116 2.420 11.107
4.017 2.420 8.871

Mn2TlOs | Alexandria | GGA-PBE | optimized geometry; magnetic moment = 4.624 μB per cell; DFT formation energy = 0.465 eV/atom; E above lowest polymorph = 0.053 eV/atom; Fermi-level density of states = 2.84 states/eV/f.u.
1.0
-0.238 2.171 1.924
-3.028 -1.548 1.373
3.231 -2.982 3.765
Mn Os Tl
2 1 1
Cartesian
0.142 -0.131 0.166
1.473 -1.360 1.717
-0.825 -0.434 2.590
0.790 -1.925 4.472

PmPr2Ho6Er3 | Alexandria | GGA-PBE | optimized geometry; magnetic moment = 0.000 μB per cell; DFT formation energy = 0.022 eV/atom; Fermi-level density of states = 16.04 states/eV/f.u.
1.0
-3.075 -5.233 -1.124
5.908 -0.217 1.777
-4.295 1.398 10.879
Pm Pr Ho Er
1 2 6 3
Cartesian
0.000 0.000 0.000
2.913 -1.889 0.810
-0.081 -3.561 -0.157
-2.578 -3.868 8.111
1.037 -3.747 3.266
1.116 -0.184 3.421
0.413 -2.198 9.077
-2.500 -0.305 8.266
-1.876 -1.854 2.455
2.264 -0.353 6.733
-3.726 -3.699 4.798
-0.731 -2.026 5.766

BeAg | Alexandria | GGA-PBE | optimized geometry; magnetic moment = 0.000 μB per cell; DFT formation energy = 0.194 eV/atom; Fermi-level density of states = 0.48 states/eV/f.u.
1.0
8.847 0.000 0.000
0.000 8.847 0.000
0.000 0.000 2.752
Be Ag
8 8
Cartesian
4.119 7.621 0.000
4.729 1.227 0.000
1.227 4.119 0.000
7.621 4.729 0.000
8.543 3.197 1.376
0.305 5.650 1.376
5.650 8.543 1.376
3.197 0.305 1.376
1.116 1.601 0.000
7.731 7.246 0.000
7.246 1.116 0.000
1.601 7.731 0.000
5.540 6.025 1.376
3.307 2.823 1.376
2.823 5.540 1.376
6.025 3.307 1.376

Er3Tm4Rh4 | Alexandria | GGA-PBE | optimized geometry; magnetic moment = 0.000 μB per cell; DFT formation energy = -0.696 eV/atom; Fermi-level density of states = 6.54 states/eV/f.u.
1.0
-3.518 0.434 0.885
-2.246 -0.947 -8.462
2.189 -7.506 4.841
Er Tm Rh
3 4 4
Cartesian
-0.143 -1.597 0.217
-3.433 -6.421 -2.952
-1.123 -0.473 -4.231
-0.044 -5.022 2.290
-2.691 -2.641 -1.856
-3.532 -2.996 -5.026
-0.885 -5.377 -0.880
-1.471 -4.363 -3.704
-2.105 -3.655 0.968
-3.529 -0.529 -6.227
-2.235 0.017 -1.350

La2MgZnC | Alexandria | GGA-PBE | optimized geometry; magnetic moment = 0.000 μB per cell; DFT formation energy = -0.075 eV/atom; Fermi-level density of states = 3.53 states/eV/f.u.
1.0
5.293 0.000 0.000
0.000 5.293 0.000
0.000 0.000 4.322
C Zn Mg La
1 1 1 2
Cartesian
0.000 0.000 0.000
2.646 2.646 2.161
0.000 0.000 2.161
0.000 2.646 0.000
2.646 0.000 0.000

CsKW2 | Alexandria | GGA-PBE | optimized geometry; magnetic moment = 0.001 μB per cell; DFT formation energy = 3.339 eV/atom; Fermi-level density of states = 9.79 states/eV/f.u.
1.0
0.864 -2.592 4.373
-2.447 -4.451 0.885
2.612 -4.444 -0.110
Cs K W
1 1 2
Cartesian
0.515 -5.743 2.574
0.000 0.000 0.000
0.258 -2.872 1.287
0.773 -8.615 3.861

Al5CuSi2 | Alexandria | GGA-PBE | optimized geometry; E_form (uncorrected) = 0.66 eV/f.u.; magnetic moment = 0.000 μB per cell; E above lowest polymorph = 0.007 eV/atom; Fermi-level density of states = 3.08 states/eV/f.u.
1.0
-2.005 2.005 7.552
2.005 -2.005 7.552
2.005 2.005 -7.552
Al Cu Si
5 1 2
Cartesian
0.000 0.000 7.552
2.005 0.000 1.882
0.000 2.005 1.882
0.000 2.005 5.669
2.005 0.000 5.669
0.000 0.000 0.000
0.000 0.000 3.809
0.000 0.000 11.294